Compound: Sb4TeOs
Source: Alexandria
Functional: PBE
Structure: relaxed

Structure (extended XYZ):
```
6
Lattice="0.0000 4.3329 4.3329 4.3329 0.0000 4.3329 4.3329 4.3329 0.0000" Properties=species:S:1:pos:R:3 pbc="T T T"
Sb 3.2562 3.2562 3.2562
Sb 5.4095 5.4095 3.2562
Sb 5.4095 3.2562 5.4095
Sb 3.2562 5.4095 5.4095
Te 0.0000 0.0000 0.0000
Os 6.4993 6.4993 6.4993
```

Results
- E_form (uncorrected) (eV/atom) = 1.1860
- crystal system = cubic
- M_tot (μB per atom) = 0.475


Compound: SrLiCl3
Source: Alexandria
Functional: PBE
Structure: relaxed

Structure (extended XYZ):
```
5
Lattice="5.6531 0.0000 0.0000 0.0000 5.6531 0.0000 0.0000 0.0000 5.6531" Properties=species:S:1:pos:R:3 pbc="T T T"
Sr 0.0000 0.0000 0.0000
Li 2.8265 2.8265 2.8265
Cl 0.0000 0.0000 2.8265
Cl 0.0000 2.8265 0.0000
Cl 2.8265 0.0000 0.0000
```

Results
- E_form (uncorrected) (eV/atom) = -1.8328
- crystal system = cubic
- energy above the lowest structure with this stoichiometry (meV/atom) = 358
- M_tot (μB per atom) = 0.000


Compound: Zr2TaRu
Source: Alexandria
Functional: PBE
Structure: relaxed

Structure (extended XYZ):
```
4
Lattice="-1.9677 1.9677 4.9474 1.9677 -1.9677 4.9474 1.9677 1.9677 -4.9474" Properties=species:S:1:pos:R:3 pbc="T T T"
Zr 0.0000 0.0000 0.0000
Zr 0.0000 1.9677 2.4737
Ta 0.0000 0.0000 4.9474
Ru 1.9677 0.0000 2.4737
```

Results
- crystal system = tetragonal
- energy above the lowest structure with this stoichiometry (meV/atom) = 229
- M_tot (μB per atom) = 0.000


Compound: ReSeN2F
Source: Alexandria
Functional: PBE
Structure: relaxed

Structure (extended XYZ):
```
5
Lattice="3.7852 0.0000 0.0000 0.0000 3.7852 0.0000 0.0000 0.0000 5.1519" Properties=species:S:1:pos:R:3 pbc="T T T"
Re 0.0000 0.0000 0.0000
Se 0.0000 0.0000 2.5759
N 0.0000 1.8926 0.0000
N 1.8926 0.0000 0.0000
F 1.8926 1.8926 2.5759
```

Results
- E_form (uncorrected) (eV/atom) = 0.3214
- crystal system = tetragonal
- energy above the lowest structure with this stoichiometry (meV/atom) = 0
- M_tot (μB per atom) = 0.000


Compound: CoRe4Pt
Source: Alexandria
Functional: PBE
Structure: relaxed

Structure (extended XYZ):
```
6
Lattice="0.0000 3.6184 3.6184 3.6184 0.0000 3.6184 3.6184 3.6184 0.0000" Properties=species:S:1:pos:R:3 pbc="T T T"
Co 0.0000 0.0000 0.0000
Re 2.7136 2.7136 2.7136
Re 4.5232 4.5232 2.7136
Re 4.5232 2.7136 4.5232
Re 2.7136 4.5232 4.5232
Pt 5.4276 5.4276 5.4276
```

Results
- crystal system = cubic
- E (Ry per atom) = -0.728
- M_tot (μB per atom) = 0.135


Compound: BaInF
Source: Alexandria
Functional: PBE
Structure: relaxed

Structure (extended XYZ):
```
6
Lattice="4.1203 -2.3733 0.0000 4.1203 2.3733 0.0000 -2.7283 0.0000 9.0130" Properties=species:S:1:pos:R:3 pbc="T T T"
Ba 0.0049 0.0000 2.7359
Ba 5.5073 0.0000 6.2771
In 2.7477 0.0000 0.2145
In 2.7645 0.0000 8.7985
F 0.0086 0.0000 5.3636
F 5.5036 0.0000 3.6494
```

Results
- E_form (uncorrected) (eV/atom) = -2.0281
- crystal system = monoclinic
- M_tot (μB per atom) = 0.000


Compound: TbHoAlGe
Source: Alexandria
Functional: PBE
Structure: relaxed

Structure (extended XYZ):
```
4
Lattice="4.0175 0.0000 0.0000 0.0000 2.1832 5.4406 0.0000 -2.1832 5.4406" Properties=species:S:1:pos:R:3 pbc="T T T"
Tb 0.0000 0.0000 0.0000
Ho 2.0088 0.0000 3.0661
Al 0.0000 0.0000 7.7909
Ge 2.0088 0.0000 6.1229
```

Results
- crystal system = orthorhombic
- E (Ry per atom) = -0.374
- M_tot (μB per atom) = 0.000


Compound: Cs2CdClF6
Source: Alexandria
Functional: PBE
Structure: relaxed

Structure (extended XYZ):
```
10
Lattice="-3.1078 3.1078 5.3415 3.1078 -3.1078 5.3415 3.1078 3.1078 -5.3415" Properties=species:S:1:pos:R:3 pbc="T T T"
Cs 3.1078 0.0000 2.6708
Cs 0.0000 3.1078 2.6708
Cd 0.0000 0.0000 0.0000
Cl 0.0000 0.0000 5.3415
F 0.0000 0.0000 2.1305
F 1.6191 1.6191 0.0000
F 1.4887 -1.4887 5.3415
F -1.4887 1.4887 5.3415
F 1.4887 1.4887 5.3415
F 0.0000 0.0000 8.5526
```

Results
- E_form (uncorrected) (eV/atom) = -1.8286
- crystal system = tetragonal
- M_tot (μB per atom) = 0.100


Compound: AcAl2Au10
Source: Alexandria
Functional: PBE
Structure: relaxed

Structure (extended XYZ):
```
13
Lattice="0.0000 6.2607 7.3302 2.7892 0.0000 7.3302 2.7892 6.2607 0.0000" Properties=species:S:1:pos:R:3 pbc="T T T"
Ac 0.0000 0.0000 0.0000
Al 1.3946 0.0000 3.6651
Al 1.3946 6.2607 3.6651
Au 1.3946 3.1304 0.0000
Au 2.7892 4.2546 2.5542
Au 2.7892 4.8588 5.5425
Au 2.7892 8.2668 2.5542
Au 2.7892 7.6626 5.5425
Au 1.3946 3.1304 7.3302
Au 2.7892 4.8588 9.1180
Au 2.7892 4.2546 12.1063
Au 2.7892 7.6626 9.1180
Au 2.7892 8.2668 12.1063
```

Results
- crystal system = orthorhombic
- E (Ry per atom) = -0.279
- M_tot (μB per atom) = 0.000


Compound: BaTaMn2
Source: Alexandria
Functional: PBE
Structure: relaxed

Structure (extended XYZ):
```
4
Lattice="3.3733 0.0000 0.0000 0.0000 3.3733 0.0000 0.0000 0.0000 7.5038" Properties=species:S:1:pos:R:3 pbc="T T T"
Ba 0.0000 0.0000 0.0000
Ta 0.0000 0.0000 3.7519
Mn 1.6867 1.6867 2.6919
Mn 1.6867 1.6867 4.8119
```

Results
- crystal system = tetragonal
- energy above the lowest structure with this stoichiometry (meV/atom) = 88
- M_tot (μB per atom) = 0.001


Compound: LiSc2Ru
Source: Alexandria
Functional: PBE
Structure: relaxed

Structure (extended XYZ):
```
4
Lattice="4.5883 0.0000 0.0000 0.0000 4.5883 0.0000 0.0000 0.0000 3.3315" Properties=species:S:1:pos:R:3 pbc="T T T"
Li 0.0000 0.0000 0.0000
Sc 0.0000 2.2942 1.6657
Sc 2.2942 0.0000 1.6657
Ru 2.2942 2.2942 0.0000
```

Results
- crystal system = tetragonal
- energy above the lowest structure with this stoichiometry (meV/atom) = 93
- M_tot (μB per atom) = 0.000


Compound: Sc2CuAu
Source: Alexandria
Functional: PBE
Structure: relaxed

Structure (extended XYZ):
```
4
Lattice="3.7958 -1.7866 0.0000 3.7958 1.7866 0.0000 -1.6633 0.0000 6.0874" Properties=species:S:1:pos:R:3 pbc="T T T"
Sc 1.4813 0.0000 1.4404
Sc 4.4470 0.0000 4.6469
Cu 3.7958 0.0000 0.0000
Au -0.8317 0.0000 3.0437
```

Results
- crystal system = monoclinic
- energy above the lowest structure with this stoichiometry (meV/atom) = 266
- M_tot (μB per atom) = 0.000


Q: M_tot of number 6 (BaInF)?
A: 0.000 μB per atom